[1]
The following is a PBE calculation of Pr3AlSn4 after structural relaxation, from Alexandria.

Its density of states at the Fermi level is 4.1 states/eV/f.u.

It has space group Immm (No. 71), with a = 4.6450 Å, b = 6.9328 Å, c = 15.4956 Å, α = 90.00°, β = 90.00° and γ = 90.00°. Symmetry generates all atoms from Pr at (0.0000, 0.0000, 0.0000), Pr at (0.0000, 0.5000, 0.1842), Al at (0.0000, 0.0000, 0.5000) and Sn at (0.0000, 0.2894, 0.3763).

[2]
The following is a PBE calculation of Pr6AlSn2 after structural relaxation, from Alexandria.

Its density of states at the Fermi level is 11.5 states/eV/f.u.

It has space group P4_2/mnm (No. 136), with a = 7.8752 Å, b = 7.8752 Å, c = 11.3433 Å, α = 90.00°, β = 90.00° and γ = 90.00°. Symmetry generates all atoms from Pr at (0.2186, 0.2186, 0.1614), Pr at (0.2271, 0.2271, 0.5000), Al at (0.0000, 0.0000, 0.0000) and Sn at (0.0000, 0.0000, 0.3311).

Number 1: E_form -0.45 eV per atom. Number 2: E_form -0.05 eV per atom.